[1]
K2TaCo GGA-PBEsol relaxed; space-group type = No. 65; energy above the most stable polymorph in this dataset = 0.41 eV per formula unit; formation energy from the elements = 141 kJ per mole of atoms
1.0
2.733 0.000 0.000
0.000 5.317 0.000
0.000 -2.658 5.911
Co K Ta
1 2 1
Cartesian
1.366 2.658 0.000 Co
0.000 -1.329 2.956 K
0.000 1.329 2.956 K
1.366 0.000 0.000 Ta

[2]
KTaCo2 GGA-PBEsol relaxed; space-group type = No. 216; energy above the most stable polymorph in this dataset = 3.97 eV per formula unit; formation energy from the elements = 136 kJ per mole of atoms
1.0
-1.713 -3.773 -1.403
1.624 -3.803 1.425
-2.338 -2.490 2.733
Co K Ta
2 1 1
Cartesian
0.000 0.000 0.000 Co
-1.820 -7.550 2.066 Co
-1.213 -5.033 1.378 K
-0.607 -2.517 0.689 Ta

[3]
K2TaCo GGA-PBEsol relaxed; space-group type = No. 225; energy above the most stable polymorph in this dataset = 3.99 eV per formula unit; formation energy from the elements = 227 kJ per mole of atoms
1.0
-3.448 3.980 -1.473
-5.395 -0.885 0.088
-3.112 2.454 3.767
Co K Ta
1 2 1
Cartesian
0.000 0.000 0.000 Co
-2.989 1.387 0.595 K
-8.966 4.161 1.786 K
-5.978 2.774 1.191 Ta

[4]
KTaCo2 GGA-PBEsol relaxed; space-group type = No. 119; energy above the most stable polymorph in this dataset = 4.05 eV per formula unit; formation energy from the elements = 138 kJ per mole of atoms
1.0
-2.442 2.651 0.537
-0.367 -1.041 3.473
4.857 2.123 -0.762
Co K Ta
2 1 1
Cartesian
0.000 0.000 0.000 Co
0.505 2.790 0.890 Co
-1.405 0.805 2.005 K
1.543 0.944 2.358 Ta

[5]
K2TaCo GGA-PBEsol relaxed; space-group type = No. 123; energy above the most stable polymorph in this dataset = 0.00 eV per formula unit; formation energy from the elements = 131 kJ per mole of atoms
1.0
3.704 0.000 0.000
0.000 3.704 0.000
0.000 0.000 5.958
Co K Ta
1 2 1
Cartesian
0.000 0.000 2.979 Co
0.000 1.852 0.000 K
1.852 0.000 0.000 K
1.852 1.852 2.979 Ta

[6]
KCoTc GGA-PBEsol relaxed; space-group type = No. 216; formation energy from the elements = 277 kJ per mole of atoms
1.0
-0.721 -0.503 4.358
-0.382 -4.075 1.734
3.214 -1.614 2.613
Co K Tc
1 1 1
Cartesian
1.055 -3.096 4.352 Co
0.528 -1.548 2.176 K
0.000 0.000 0.000 Tc

[7]
KCoTc2 GGA-PBEsol relaxed; space-group type = No. 71; formation energy from the elements = 96 kJ per mole of atoms
1.0
2.541 0.000 0.000
0.000 4.868 -0.284
-1.270 -2.136 5.320
Co K Tc
1 1 2
Cartesian
0.000 2.434 -0.142 Co
1.270 0.000 0.000 K
1.270 2.557 1.992 Tc
0.000 0.175 3.044 Tc

[8]
KYCoTc2 GGA-PBEsol relaxed; space-group type = No. 123; formation energy from the elements = 104 kJ per mole of atoms
1.0
-3.205 -2.634 -1.774
2.796 -3.535 0.197
-1.701 -1.084 4.683
Y K Co Tc
1 1 1 2
Cartesian
-0.850 -0.542 2.342 Y
-1.055 -3.626 1.553 K
0.000 0.000 0.000 Co
1.398 -1.767 0.099 Tc
-1.602 -1.317 -0.887 Tc

[9]
K2TiCo GGA-PBEsol relaxed; space-group type = No. 225; formation energy from the elements = 172 kJ per mole of atoms
1.0
-1.964 -0.684 5.147
2.741 -3.200 3.614
2.636 2.307 4.306
K Co Ti
2 1 1
Cartesian
0.853 -0.394 3.267 K
2.560 -1.183 9.800 K
1.707 -0.788 6.533 Co
0.000 0.000 0.000 Ti

[10]
KTi3Co GGA-PBEsol relaxed; space-group type = No. 221; formation energy from the elements = 65 kJ per mole of atoms
1.0
-3.134 -0.051 3.437
2.696 -2.921 2.416
2.132 3.619 1.998
K Co Ti
1 1 3
Cartesian
0.847 0.324 3.925 K
0.000 0.000 0.000 Co
1.348 -1.460 1.208 Ti
1.066 1.810 0.999 Ti
-1.567 -0.025 1.718 Ti

[11]
K2TlCo GGA-PBEsol relaxed; space-group type = No. 71; energy above the most stable polymorph in this dataset = 0.00 eV per formula unit; formation energy from the elements = 41 kJ per mole of atoms
1.0
-1.183 1.802 2.563
-0.870 -3.383 1.977
9.972 0.866 1.804
Co K Tl
1 2 1
Cartesian
-0.591 0.901 1.281 Co
5.288 -0.736 5.146 K
2.631 0.022 1.198 K
-0.435 -1.691 0.988 Tl

[12]
KTlCo2 GGA-PBEsol relaxed; space-group type = No. 166; formation energy from the elements = 105 kJ per mole of atoms
1.0
-1.558 -1.874 -1.780
1.133 -0.837 -2.669
4.098 -8.360 2.655
Co K Tl
2 1 1
Cartesian
0.769 -2.505 -0.594 Co
2.904 -8.566 -1.199 Co
1.837 -5.535 -0.897 K
0.000 0.000 0.000 Tl